# RbNb2PdN, optimized geometry, DFT PBE-GGA
# M_tot = 5.3 Bohr magnetons per cell
# DOS at the Fermi energy = 1.236 states/eV per atom
# Raw formation energy = 1912 meV per atom
data_RbNb2PdN
_chemical_formula_sum 'Rb1 Nb2 Pd1 N1'
_cell_length_a 5.356
_cell_length_b 4.020
_cell_length_c 5.356
_cell_angle_alpha 90.00
_cell_angle_beta 90.00
_cell_angle_gamma 90.00
_space_group_name_H-M_alt 'P 1'
_space_group_IT_number 1
_space_group_name_Hall 'P 1'
loop_
_atom_site_label
_atom_site_type_symbol
_atom_site_fract_x
_atom_site_fract_y
_atom_site_fract_z
Nb1 Nb 0.000 0.000 0.500
Nb2 Nb 0.500 0.000 0.000
Rb1 Rb 0.500 0.500 0.500
Pd1 Pd 0.000 0.000 0.000
N1 N 0.000 0.500 0.000



# Pm2SmDy, optimized geometry, DFT PBE-GGA
# M_tot = 0.0 Bohr magnetons per cell
# Polymorph energy (0 for the lowest one) = 2 meV/atom
# DOS at the Fermi energy = 1.441 states/eV per atom
data_Pm2SmDy
_chemical_formula_sum 'Pm2 Sm1 Dy1'
_cell_length_a 3.633
_cell_length_b 3.633
_cell_length_c 11.921
_cell_angle_alpha 81.24
_cell_angle_beta 81.24
_cell_angle_gamma 60.00
_space_group_name_H-M_alt 'P 1'
_space_group_IT_number 1
_space_group_name_Hall 'P 1'
loop_
_atom_site_label
_atom_site_type_symbol
_atom_site_fract_x
_atom_site_fract_y
_atom_site_fract_z
Pm1 Pm 0.082 0.082 0.753
Pm2 Pm 0.251 0.251 0.248
Sm1 Sm 0.500 0.500 0.500
Dy1 Dy 0.667 0.667 0.999



# POs2Pt, optimized geometry, DFT PBE-GGA
# Energy = -8.38 eV/atom
# M_tot = 0.0 Bohr magnetons per cell
# DOS at the Fermi energy = 0.626 states/eV per atom
data_POs2Pt
_chemical_formula_sum 'P1 Os2 Pt1'
_cell_length_a 8.449
_cell_length_b 8.449
_cell_length_c 8.449
_cell_angle_alpha 19.20
_cell_angle_beta 19.20
_cell_angle_gamma 19.20
_space_group_name_H-M_alt 'P 1'
_space_group_IT_number 1
_space_group_name_Hall 'P 1'
loop_
_atom_site_label
_atom_site_type_symbol
_atom_site_fract_x
_atom_site_fract_y
_atom_site_fract_z
P1 P 0.496 0.496 0.496
Os1 Os 0.004 0.004 0.004
Os2 Os 0.758 0.758 0.758
Pt1 Pt 0.243 0.243 0.243



# Cd7In2Au2, optimized geometry, DFT PBE-GGA
# Energy = -1.74 eV/atom
# M_tot = 0.0 Bohr magnetons per cell
# DOS at the Fermi energy = 0.245 states/eV per atom
data_Cd7In2Au2
_chemical_formula_sum 'Cd7 In2 Au2'
_cell_length_a 4.512
_cell_length_b 7.926
_cell_length_c 7.926
_cell_angle_alpha 69.39
_cell_angle_beta 74.12
_cell_angle_gamma 74.12
_space_group_name_H-M_alt 'P 1'
_space_group_IT_number 1
_space_group_name_Hall 'P 1'
loop_
_atom_site_label
_atom_site_type_symbol
_atom_site_fract_x
_atom_site_fract_y
_atom_site_fract_z
Cd1 Cd 0.653 0.100 0.590
Cd2 Cd 0.347 0.410 0.900
Cd3 Cd 0.347 0.900 0.410
Cd4 Cd 0.653 0.590 0.100
Cd5 Cd 0.500 0.000 0.000
Cd6 Cd 0.825 0.179 0.179
Cd7 Cd 0.175 0.821 0.821
In1 In 0.863 0.634 0.634
In2 In 0.137 0.366 0.366
Au1 Au 0.000 0.770 0.230
Au2 Au 0.000 0.230 0.770



# Th5In2Co2, optimized geometry, DFT PBE-GGA
# Energy = -6.36 eV/atom
# M_tot = 0.0 Bohr magnetons per cell
# DOS at the Fermi energy = 1.047 states/eV per atom
data_Th5In2Co2
_chemical_formula_sum 'Th10 In4 Co4'
_cell_length_a 7.108
_cell_length_b 6.909
_cell_length_c 12.038
_cell_angle_alpha 106.68
_cell_angle_beta 107.17
_cell_angle_gamma 90.00
_space_group_name_H-M_alt 'P 1'
_space_group_IT_number 1
_space_group_name_Hall 'P 1'
loop_
_atom_site_label
_atom_site_type_symbol
_atom_site_fract_x
_atom_site_fract_y
_atom_site_fract_z
Th1 Th 0.249 0.731 0.998
Th2 Th 0.751 0.733 0.002
Th3 Th 0.249 0.231 0.998
Th4 Th 0.751 0.233 0.002
Th5 Th 0.149 0.120 0.277
Th6 Th 0.851 0.843 0.723
Th7 Th 0.628 0.620 0.277
Th8 Th 0.372 0.343 0.723
Th9 Th 0.162 0.730 0.500
Th10 Th 0.838 0.230 0.500
In1 In 0.110 0.589 0.214
In2 In 0.890 0.375 0.786
In3 In 0.604 0.089 0.214
In4 In 0.396 0.875 0.786
Co1 Co 0.000 0.982 0.000
Co2 Co 0.500 0.482 0.000
Co3 Co 0.193 0.233 0.500
Co4 Co 0.807 0.733 0.500



Q: Among the records above, which one has the lowest DOS at the Fermi energy?
A: Cd7In2Au2



Q: Look up the M_tot of the first one.
A: 5.3 Bohr magnetons per cell



Q: Which of these has the highest DOS at the Fermi energy?
A: Pm2SmDy



Q: M_tot of number 2 (Pm2SmDy)?
A: 0.0 Bohr magnetons per cell